Entry 1:
First-principles (GGA-PBE) data for crystalline La4HgW at its relaxed geometry, as listed in the Alexandria database.

Geometry as CIF:
```
data_La4HgW
_chemical_formula_sum 'La16 Hg4 W4'
_symmetry_space_group_name_H-M 'F -4 3 m'
_symmetry_Int_Tables_number 216
_symmetry_space_group_name_Hall 'F -4 2 3'
_cell_length_a 8.852
_cell_length_b 8.852
_cell_length_c 8.852
_cell_angle_alpha 90.00
_cell_angle_beta 90.00
_cell_angle_gamma 90.00
loop_
_atom_site_label
_atom_site_type_symbol
_atom_site_fract_x
_atom_site_fract_y
_atom_site_fract_z
La1 La 0.124 0.124 0.124
Hg1 Hg 0.000 0.000 0.500
W1 W 0.250 0.250 0.750
```

## Properties
Formation energy, eV/atom: 0.8625
DFT total energy, eV/atom: -4.63


Entry 2:
First-principles (GGA-PBE) data for crystalline LaHg2W at its relaxed geometry, as listed in the Alexandria database.

Geometry as CIF:
```
data_LaHg2W
_chemical_formula_sum 'La4 Hg8 W4'
_symmetry_space_group_name_H-M 'F m -3 m'
_symmetry_Int_Tables_number 225
_symmetry_space_group_name_Hall '-F 4 2 3'
_cell_length_a 7.243
_cell_length_b 7.243
_cell_length_c 7.243
_cell_angle_alpha 90.00
_cell_angle_beta 90.00
_cell_angle_gamma 90.00
loop_
_atom_site_label
_atom_site_type_symbol
_atom_site_fract_x
_atom_site_fract_y
_atom_site_fract_z
La1 La 0.000 0.000 0.000
Hg1 Hg 0.250 0.250 0.250
W1 W 0.000 0.000 0.500
```

## Properties
Formation energy, eV/atom: 0.5586
DFT total energy, eV/atom: -4.06
Energy relative to the lowest polymorph listed for this composition, kJ per mole of atoms: 13.0


Entry 3:
First-principles (GGA-PBE) data for crystalline LaHg2W at its relaxed geometry, as listed in the Alexandria database.

Geometry as CIF:
```
data_LaHg2W
_chemical_formula_sum 'La2 Hg4 W2'
_symmetry_space_group_name_H-M 'C m m 2'
_symmetry_Int_Tables_number 35
_symmetry_space_group_name_Hall 'C 2 -2'
_cell_length_a 4.330
_cell_length_b 4.347
_cell_length_c 9.663
_cell_angle_alpha 90.00
_cell_angle_beta 90.00
_cell_angle_gamma 90.00
loop_
_atom_site_label
_atom_site_type_symbol
_atom_site_fract_x
_atom_site_fract_y
_atom_site_fract_z
La1 La 0.000 0.000 0.000
Hg1 Hg 0.000 0.000 0.466
Hg2 Hg 0.000 0.500 0.720
W1 W 0.000 0.500 0.251
```

## Properties
Formation energy, eV/atom: 0.4456
DFT total energy, eV/atom: -4.18
Energy relative to the lowest polymorph listed for this composition, kJ per mole of atoms: 2.1